No. 1
Entry from the Alexandria database: a relaxed BeCl crystal (PBE-GGA).

a = 5.5165 Å, b = 5.5165 Å, c = 8.3107 Å
α = 108.19°, β = 108.19°, γ = 33.89°
Fractional positions:
Be: 0.0000 0.0000 0.0000
Be: 0.0366 0.0366 0.7665
Be: 0.4005 0.4005 0.7510
Cl: 0.2376 0.2376 0.8265
Cl: 0.5311 0.5311 0.1620
Cl: 0.8849 0.8849 0.5437

## Properties
Formation energy without anion corrections: -0.5570 eV per atom
Distance to the lowest polymorph of the same formula: 10 meV per atom
Space group: Cm
Electronic total energy: -3.343 eV per atom
Crystal system: monoclinic


No. 2
Entry from the Alexandria database: a relaxed BeCl crystal (PBE-GGA).

a = 6.6415 Å, b = 6.6415 Å, c = 6.6415 Å
α = 90.00°, β = 90.00°, γ = 90.00°
Fractional positions:
Be: 0.0000 0.2500 0.5000
Be: 0.0000 0.7500 0.5000
Be: 0.2500 0.5000 0.0000
Be: 0.5000 0.0000 0.2500
Be: 0.5000 0.0000 0.7500
Be: 0.7500 0.5000 0.0000
Cl: 0.0000 0.5000 0.2500
Cl: 0.0000 0.5000 0.7500
Cl: 0.2500 0.0000 0.5000
Cl: 0.5000 0.2500 0.0000
Cl: 0.5000 0.7500 0.0000
Cl: 0.7500 0.0000 0.5000

## Properties
Formation energy without anion corrections: 0.5220 eV per atom
Distance to the lowest polymorph of the same formula: 1089 meV per atom
Space group: Pm-3n
Electronic total energy: -2.264 eV per atom
Crystal system: cubic


No. 3
Entry from the Alexandria database: a relaxed BeCl crystal (PBE-GGA).

a = 8.6142 Å, b = 8.6142 Å, c = 3.1731 Å
α = 90.00°, β = 90.00°, γ = 90.00°
Fractional positions:
Be: 0.0851 0.0851 0.0000
Be: 0.4149 0.5851 0.5000
Be: 0.5851 0.4149 0.5000
Be: 0.9149 0.9149 0.0000
Cl: 0.1890 0.1890 0.5000
Cl: 0.3110 0.6890 0.0000
Cl: 0.6890 0.3110 0.0000
Cl: 0.8110 0.8110 0.5000

## Properties
Formation energy without anion corrections: -0.5532 eV per atom
Distance to the lowest polymorph of the same formula: 14 meV per atom
Space group: P4_2/mnm
Electronic total energy: -3.340 eV per atom
Crystal system: tetragonal


No. 4
Entry from the Alexandria database: a relaxed BeCl crystal (PBE-GGA).

a = 3.1109 Å, b = 3.1109 Å, c = 5.6034 Å
α = 100.76°, β = 100.76°, γ = 59.83°
Fractional positions:
Be: 0.0000 0.0000 0.0000
Cl: 0.7153 0.7153 0.2198

## Properties
Formation energy without anion corrections: 0.1288 eV per atom
Distance to the lowest polymorph of the same formula: 696 meV per atom
Space group: Cm
Electronic total energy: -2.658 eV per atom
Crystal system: monoclinic


No. 5
Entry from the Alexandria database: a relaxed BeCl crystal (PBE-GGA).

a = 9.6156 Å, b = 9.4834 Å, c = 4.6193 Å
α = 77.60°, β = 74.42°, γ = 27.98°
Fractional positions:
Be: 0.0482 0.0482 0.2018
Be: 0.2018 0.2018 0.0482
Be: 0.7982 0.7982 0.9518
Be: 0.9518 0.9518 0.7982
Cl: 0.1154 0.6346 0.6346
Cl: 0.3654 0.8846 0.8846
Cl: 0.6346 0.1154 0.1154
Cl: 0.8846 0.3654 0.3654

## Properties
Formation energy without anion corrections: -0.0867 eV per atom
Distance to the lowest polymorph of the same formula: 480 meV per atom
Space group: Fddd
Electronic total energy: -2.873 eV per atom
Crystal system: orthorhombic


No. 6
Entry from the Alexandria database: a relaxed BeCl crystal (PBE-GGA).

a = 3.1980 Å, b = 4.6494 Å, c = 6.8854 Å
α = 108.62°, β = 90.36°, γ = 110.03°
Fractional positions:
Be: 0.1519 0.2968 0.0003
Be: 0.8481 0.7032 0.9997
Cl: 0.0671 0.1285 0.2384
Cl: 0.9329 0.8715 0.7616

## Properties
Formation energy without anion corrections: -0.5651 eV per atom
Distance to the lowest polymorph of the same formula: 2 meV per atom
Space group: P-1
Electronic total energy: -3.352 eV per atom
Crystal system: triclinic


No. 7
Entry from the Alexandria database: a relaxed BeCl crystal (PBE-GGA).

a = 4.4082 Å, b = 3.0169 Å, c = 6.4470 Å
α = 90.00°, β = 107.74°, γ = 90.00°
Fractional positions:
Be: 0.2010 0.2500 0.4729
Be: 0.7990 0.7500 0.5271
Cl: 0.3711 0.7500 0.2699
Cl: 0.6289 0.2500 0.7301

## Properties
Formation energy without anion corrections: -0.4142 eV per atom
Distance to the lowest polymorph of the same formula: 153 meV per atom
Space group: P2_1/m
Electronic total energy: -3.201 eV per atom
Crystal system: monoclinic


No. 8
Entry from the Alexandria database: a relaxed BeCl crystal (PBE-GGA).

a = 3.1910 Å, b = 15.6830 Å, c = 5.0299 Å
α = 90.00°, β = 90.00°, γ = 90.00°
Fractional positions:
Be: 0.2500 0.1833 0.2091
Be: 0.2500 0.3167 0.2091
Be: 0.2500 0.7500 0.5523
Be: 0.7500 0.2500 0.4477
Be: 0.7500 0.6833 0.7909
Be: 0.7500 0.8167 0.7909
Cl: 0.2500 0.2500 0.8385
Cl: 0.2500 0.5943 0.7522
Cl: 0.2500 0.9057 0.7522
Cl: 0.7500 0.0943 0.2478
Cl: 0.7500 0.4057 0.2478
Cl: 0.7500 0.7500 0.1615

## Properties
Formation energy without anion corrections: -0.4587 eV per atom
Distance to the lowest polymorph of the same formula: 108 meV per atom
Space group: Pmmn
Electronic total energy: -3.245 eV per atom
Crystal system: orthorhombic


No. 9
Entry from the Alexandria database: a relaxed Be3Cl crystal (PBE-GGA).

a = 4.1602 Å, b = 4.1602 Å, c = 4.1602 Å
α = 60.00°, β = 60.00°, γ = 60.00°
Fractional positions:
Be: 0.0000 0.0000 0.0000
Be: 0.2500 0.2500 0.2500
Be: 0.7500 0.7500 0.7500
Cl: 0.5000 0.5000 0.5000

## Properties
Formation energy without anion corrections: 1.2988 eV per atom
Distance to the lowest polymorph of the same formula: 1242 meV per atom
Space group: Fm-3m
Electronic total energy: -1.958 eV per atom
Crystal system: cubic


No. 10
Entry from the Alexandria database: a relaxed BeCl crystal (PBE-GGA).

a = 3.1852 Å, b = 5.5634 Å, c = 5.5634 Å
α = 97.68°, β = 90.00°, γ = 90.00°
Fractional positions:
Be: 0.0000 0.0000 0.0000
Be: 0.5000 0.0859 0.3465
Be: 0.5000 0.3465 0.0859
Cl: 0.0000 0.5777 0.9690
Cl: 0.0000 0.9690 0.5777
Cl: 0.5000 0.4416 0.4416

## Properties
Formation energy without anion corrections: -0.4498 eV per atom
Distance to the lowest polymorph of the same formula: 117 meV per atom
Space group: Amm2
Electronic total energy: -3.236 eV per atom
Crystal system: orthorhombic


No. 11
Entry from the Alexandria database: a relaxed Be3Cl crystal (PBE-GGA).

a = 7.8993 Å, b = 7.8993 Å, c = 3.0428 Å
α = 90.00°, β = 90.00°, γ = 140.03°
Fractional positions:
Be: 0.0405 0.9595 0.7500
Be: 0.2465 0.3571 0.7500
Be: 0.3571 0.2465 0.2500
Be: 0.6429 0.7535 0.7500
Be: 0.7535 0.6429 0.2500
Be: 0.9595 0.0405 0.2500
Cl: 0.3382 0.6618 0.2500
Cl: 0.6618 0.3382 0.7500

## Properties
Formation energy without anion corrections: 0.2811 eV per atom
Distance to the lowest polymorph of the same formula: 224 meV per atom
Space group: Cmcm
Electronic total energy: -2.975 eV per atom
Crystal system: orthorhombic


No. 12
Entry from the Alexandria database: a relaxed Be3Cl crystal (PBE-GGA).

a = 2.6928 Å, b = 2.9269 Å, c = 6.1720 Å
α = 90.00°, β = 90.00°, γ = 90.00°
Fractional positions:
Be: 0.0000 0.0000 0.0000
Be: 0.5000 0.5000 0.1974
Be: 0.5000 0.5000 0.8026
Cl: 0.0000 0.5000 0.5000

## Properties
Formation energy without anion corrections: 0.3008 eV per atom
Distance to the lowest polymorph of the same formula: 244 meV per atom
Space group: Pmmm
Electronic total energy: -2.956 eV per atom
Crystal system: orthorhombic


- The lowest formation energy without anion corrections belongs to which entry?
  number 6


- What is the formula in the eleventh record?
  Be3Cl